A relaxed structure of CeEr14Zr, computed with PBE.

The value obtained for the energy is -4.8509 eV/atom. The calculation puts the calculated volume at 477.9 Å³/f.u. For the formation energy from the elements, the calculation gives 0.047 eV per atom. As for the calculated density: 8.9 g/cm³.

The space group is P4/mmm (No. 123) and the conventional cell measures 6.974, 6.974 and 9.827 Å, with angles of 90.00, 90.00 and 90.00 degrees. Symmetry generates all atoms from Ce at (0.000, 0.000, 0.000), Er at (0.000, 0.000, 0.500), Er at (0.000, 0.500, 0.000), Er at (0.000, 0.500, 0.500), Er at (0.254, 0.254, 0.245), Er at (0.500, 0.500, 0.500) and Zr at (0.500, 0.500, 0.000).

A relaxed structure of Tb2DyTl, computed with PBE.

The value obtained for the energy is -4.0899 eV/atom. The calculation puts the calculated volume at 116.3 Å³/f.u. For the formation energy from the elements, the calculation gives -0.033 eV per atom. As for the calculated density: 9.8 g/cm³.

The space group is Fm-3m (No. 225) and the conventional cell measures 7.748, 7.748 and 7.748 Å, with angles of 90.00, 90.00 and 90.00 degrees. Symmetry generates all atoms from Tb at (0.250, 0.250, 0.250), Dy at (0.000, 0.000, 0.000) and Tl at (0.000, 0.000, 0.500).

A relaxed structure of Np2ReIr, computed with PBE.

The value obtained for the energy is -11.5674 eV/atom. The calculation puts the calculated volume at 70.2 Å³/f.u. For the formation energy from the elements, the calculation gives 0.230 eV per atom. As for the calculated density: 20.2 g/cm³.

The space group is R-3m (No. 166, hexagonal axes) and the conventional cell measures 2.7653, 2.7653 and 31.7880 Å, with angles of 90.00, 90.00 and 120.00 degrees. Symmetry generates all atoms from Np at (0.0000, 0.0000, 0.2473), Re at (0.0000, 0.0000, 0.0000) and Ir at (0.0000, 0.0000, 0.5000).

A relaxed structure of ZrSnIr2, computed with PBE.

The value obtained for the energy is -8.0490 eV/atom. The calculation puts the calculated volume at 71.7 Å³/f.u. For the formation energy from the elements, the calculation gives -0.481 eV per atom. As for the calculated density: 13.8 g/cm³.

The space group is P4/mmm (No. 123) and the conventional cell measures 3.459, 3.459 and 5.997 Å, with angles of 90.00, 90.00 and 90.00 degrees. Symmetry generates all atoms from Zr at (0.000, 0.000, 0.000), Sn at (0.000, 0.000, 0.500) and Ir at (0.500, 0.500, 0.252).

A relaxed structure of SmEr2Ga2Ag2, computed with PBE.

The value obtained for the energy is -4.0299 eV/atom. The calculation puts the calculated volume at 164.6 Å³/f.u. For the formation energy from the elements, the calculation gives -0.373 eV per atom. As for the calculated density: 8.5 g/cm³.

The space group is R-3m (No. 166, hexagonal axes) and the conventional cell measures 4.6288, 4.6288 and 26.6187 Å, with angles of 90.00, 90.00 and 120.00 degrees. Symmetry generates all atoms from Sm at (0.0000, 0.0000, 0.0000), Er at (0.0000, 0.0000, 0.1268), Ga at (0.0000, 0.0000, 0.2551) and Ag at (0.0000, 0.0000, 0.4038).

A relaxed structure of Nd2Tm2Bi2P, computed with PBE.

The value obtained for the energy is -5.3763 eV/atom. The calculation puts the calculated volume at 215.6 Å³/f.u. For the formation energy from the elements, the calculation gives -0.855 eV per atom. As for the calculated density: 8.3 g/cm³.

The space group is I4/mmm (No. 139) and the conventional cell measures 5.087, 5.087 and 16.664 Å, with angles of 90.00, 90.00 and 90.00 degrees. Symmetry generates all atoms from Nd at (0.000, 0.000, 0.168), Tm at (0.000, 0.500, 0.000), Bi at (0.000, 0.000, 0.366) and P at (0.000, 0.000, 0.000).

A relaxed structure of CaCrRe2, computed with PBE.

The value obtained for the energy is -8.1408 eV/atom. The calculation puts the calculated volume at 63.3 Å³/f.u. For the formation energy from the elements, the calculation gives 0.989 eV per atom. As for the calculated density: 12.2 g/cm³.

The space group is P4/mmm (No. 123) and the conventional cell measures 4.559, 4.559 and 3.046 Å, with angles of 90.00, 90.00 and 90.00 degrees. Symmetry generates all atoms from Ca at (0.000, 0.000, 0.000), Cr at (0.500, 0.500, 0.000) and Re at (0.000, 0.500, 0.500).

A relaxed structure of Er3MgTc, computed with PBE.

The value obtained for the energy is -5.2275 eV/atom. The calculation puts the calculated volume at 129.2 Å³/f.u. For the formation energy from the elements, the calculation gives -0.098 eV per atom. As for the calculated density: 8.0 g/cm³.

The space group is P2_1/m (No. 11) and the conventional cell measures 7.860, 4.147 and 8.016 Å, with angles of 90.00, 98.42 and 90.00 degrees. Symmetry generates all atoms from Er at (0.111, 0.250, 0.163), Er at (0.167, 0.750, 0.522), Er at (0.331, 0.750, 0.929), Mg at (0.483, 0.250, 0.662) and Tc at (0.131, 0.250, 0.768).

A relaxed structure of NaPd6Pb5, computed with PBE.

The value obtained for the energy is -4.4580 eV/atom. The calculation puts the calculated volume at 246.8 Å³/f.u. For the formation energy from the elements, the calculation gives -0.207 eV per atom. As for the calculated density: 11.4 g/cm³.

The space group is Cmmm (No. 65) and the conventional cell measures 4.818, 14.686 and 6.974 Å, with angles of 90.00, 90.00 and 90.00 degrees. Symmetry generates all atoms from Na at (0.000, 0.000, 0.000), Pd at (0.000, 0.181, 0.216), Pd at (0.000, 0.500, 0.276), Pb at (0.000, 0.000, 0.500), Pb at (0.000, 0.329, 0.500) and Pb at (0.000, 0.353, 0.000).

A relaxed structure of CaPmGe2Pd2, computed with PBE.

The value obtained for the energy is -5.2071 eV/atom. The calculation puts the calculated volume at 127.8 Å³/f.u. For the formation energy from the elements, the calculation gives -0.812 eV per atom. As for the calculated density: 7.1 g/cm³.

The space group is P-3m1 (No. 164) and the conventional cell measures 4.4186, 4.4186 and 7.5605 Å, with angles of 90.00, 90.00 and 120.00 degrees. Symmetry generates all atoms from Ca at (0.0000, 0.0000, 0.0000), Pm at (0.0000, 0.0000, 0.5000), Ge at (0.3333, 0.6667, 0.2531) and Pd at (0.3333, 0.6667, 0.7508).

A relaxed structure of Ce2ThSc2, computed with PBE.

The value obtained for the energy is -6.3361 eV/atom. The calculation puts the calculated volume at 135.4 Å³/f.u. For the formation energy from the elements, the calculation gives 0.054 eV per atom. As for the calculated density: 7.4 g/cm³.

The space group is C2/m (No. 12) and the conventional cell measures 11.050, 3.392 and 8.381 Å, with angles of 90.00, 120.44 and 90.00 degrees. Symmetry generates all atoms from Ce at (0.111, 0.000, 0.412), Th at (0.000, 0.500, 0.000) and Sc at (0.198, 0.500, 0.808).

A relaxed structure of Rb2TlReBr8, computed with PBE.

The value obtained for the energy is -3.3529 eV/atom. The calculation puts the calculated volume at 487.2 Å³/f.u. The calculation puts the uncorrected formation energy at -0.84 eV per atom. As for the calculated density: 4.1 g/cm³.

The space group is P-1 (No. 2) and the conventional cell measures 7.100, 8.555 and 8.916 Å, with angles of 77.40, 74.37 and 70.66 degrees. Symmetry generates all atoms from Rb at (0.128, 0.134, 0.195), Tl at (0.500, 0.500, 0.500), Re at (0.500, 0.500, 0.000), Br at (0.245, 0.489, 0.259), Br at (0.264, 0.450, 0.860), Br at (0.287, 0.846, 0.496) and Br at (0.341, 0.814, 0.945).

A relaxed structure of SrLa, computed with PBE.

The value obtained for the energy is -3.1713 eV/atom. The calculation puts the calculated volume at 88.0 Å³/f.u. For the formation energy from the elements, the calculation gives 0.133 eV per atom. As for the calculated density: 4.3 g/cm³.

The space group is Cm (No. 8) and the conventional cell measures 14.944, 3.916 and 9.326 Å, with angles of 90.00, 104.62 and 90.00 degrees. Symmetry generates all atoms from Sr at (0.000, 0.000, 0.000), Sr at (0.046, 0.000, 0.612), Sr at (0.379, 0.000, 0.279), La at (0.171, 0.500, 0.341), La at (0.224, 0.500, 0.935) and La at (0.309, 0.000, 0.671).

A relaxed structure of TlZnHg3, computed with PBE.

The value obtained for the energy is -0.8169 eV/atom. The calculation puts the calculated volume at 147.6 Å³/f.u. For the formation energy from the elements, the calculation gives 0.092 eV per atom. As for the calculated density: 9.8 g/cm³.

The space group is Pm-3m (No. 221) and the conventional cell measures 5.285, 5.285 and 5.285 Å, with angles of 90.00, 90.00 and 90.00 degrees. Symmetry generates all atoms from Tl at (0.000, 0.000, 0.000), Zn at (0.500, 0.500, 0.500) and Hg at (0.000, 0.500, 0.500).

A relaxed structure of LiZr4S8, computed with PBE.

The value obtained for the energy is -6.8592 eV/atom. The calculation puts the calculated volume at 296.0 Å³/f.u. The calculation puts the uncorrected formation energy at -1.54 eV per atom. As for the calculated density: 3.5 g/cm³.

The space group is C2/m (No. 12) and the conventional cell measures 12.641, 7.307 and 8.973 Å, with angles of 90.00, 134.41 and 90.00 degrees. Symmetry generates all atoms from Li at (0.000, 0.000, 0.000), Zr at (0.000, 0.253, 0.500), Zr at (0.241, 0.500, 0.483), S at (0.027, 0.000, 0.728), S at (0.037, 0.500, 0.738) and S at (0.216, 0.243, 0.264).

A relaxed structure of YHg3Cl, computed with PBE.

The value obtained for the energy is -1.5029 eV/atom. The calculation puts the calculated volume at 162.3 Å³/f.u. The calculation puts the uncorrected formation energy at 0.34 eV per atom. As for the calculated density: 7.4 g/cm³.

The space group is Pm-3m (No. 221) and the conventional cell measures 5.455, 5.455 and 5.455 Å, with angles of 90.00, 90.00 and 90.00 degrees. Symmetry generates all atoms from Y at (0.000, 0.000, 0.000), Hg at (0.000, 0.500, 0.500) and Cl at (0.500, 0.500, 0.500).

A relaxed structure of Tb2Dy7Th, computed with PBE.

The value obtained for the energy is -4.5548 eV/atom. The calculation puts the calculated volume at 344.4 Å³/f.u. For the formation energy from the elements, the calculation gives 0.335 eV per atom. As for the calculated density: 8.1 g/cm³.

The space group is Immm (No. 71) and the conventional cell measures 3.569, 11.622 and 16.608 Å, with angles of 90.00, 90.00 and 90.00 degrees. Symmetry generates all atoms from Tb at (0.000, 0.000, 0.168), Dy at (0.000, 0.000, 0.500), Dy at (0.000, 0.249, 0.348), Dy at (0.000, 0.500, 0.169) and Th at (0.000, 0.500, 0.500).

A relaxed structure of La8Os2Pd, computed with PBE.

The value obtained for the energy is -6.2684 eV/atom. The calculation puts the calculated volume at 334.6 Å³/f.u. For the formation energy from the elements, the calculation gives -0.171 eV per atom. As for the calculated density: 7.9 g/cm³.

The space group is Cm (No. 8) and the conventional cell measures 8.539, 13.296 and 6.252 Å, with angles of 90.00, 109.47 and 90.00 degrees. Symmetry generates all atoms from La at (0.000, 0.000, 0.000), La at (0.083, 0.372, 0.771), La at (0.159, 0.128, 0.609), La at (0.241, 0.500, 0.378), La at (0.371, 0.223, 0.190), Os at (0.370, 0.299, 0.689) and Pd at (0.370, 0.000, 0.179).

A relaxed structure of NaTbTm, computed with PBE.

The value obtained for the energy is -3.3117 eV/atom. The calculation puts the calculated volume at 98.1 Å³/f.u. For the formation energy from the elements, the calculation gives 0.162 eV per atom. As for the calculated density: 5.9 g/cm³.

The space group is Cm (No. 8) and the conventional cell measures 12.917, 3.523 and 8.878 Å, with angles of 90.00, 103.79 and 90.00 degrees. Symmetry generates all atoms from Na at (0.000, 0.000, 0.000), Na at (0.228, 0.500, 0.960), Tb at (0.059, 0.000, 0.607), Tb at (0.170, 0.500, 0.352), Tm at (0.334, 0.000, 0.653) and Tm at (0.394, 0.000, 0.307).

A relaxed structure of Sc6PdRu, computed with PBE.

The value obtained for the energy is -6.9016 eV/atom. The calculation puts the calculated volume at 169.5 Å³/f.u. For the formation energy from the elements, the calculation gives -0.344 eV per atom. As for the calculated density: 4.7 g/cm³.

The space group is I4/mmm (No. 139) and the conventional cell measures 4.650, 4.650 and 15.680 Å, with angles of 90.00, 90.00 and 90.00 degrees. Symmetry generates all atoms from Sc at (0.000, 0.000, 0.247), Sc at (0.000, 0.500, 0.100), Pd at (0.000, 0.000, 0.500) and Ru at (0.000, 0.000, 0.000).